{
  "formula": "Cs2LiPrI6",
  "functional": "PBE-GGA",
  "state": "optimized geometry",
  "lattice_angstrom": [[8.647, 0.000, 0.000], [4.323, 7.488, 0.000], [4.323, 2.496, 14.451]],
  "species": ["Cs", "Cs", "Cs", "Cs", "Li", "Li", "Pr", "Pr", "I", "I", "I", "I", "I", "I", "I", "I", "I", "I", "I", "I"],
  "fractional_positions": [[0.877, 0.877, 0.369], [0.123, 0.123, 0.631], [0.708, 0.708, 0.876], [0.292, 0.292, 0.124], [0.000, 0.000, 0.000], [0.500, 0.500, 0.500], [0.585, 0.585, 0.245], [0.415, 0.415, 0.755], [0.872, 0.375, 0.377], [0.375, 0.872, 0.377], [0.375, 0.375, 0.377], [0.128, 0.625, 0.623], [0.625, 0.128, 0.623], [0.625, 0.625, 0.623], [0.716, 0.202, 0.879], [0.202, 0.716, 0.879], [0.202, 0.202, 0.879], [0.284, 0.798, 0.121], [0.798, 0.284, 0.121], [0.798, 0.798, 0.121]],
  "total_magnetization_mub_per_cell": 0.00,
  "sg": "No. 166",
  "relative_energy_ev_per_fu": 0.000,
  "raw_formation_energy_ev_per_atom": -1.4440
}